Density functional theory data (PBE) for crystalline Ba2AuSe at its relaxed geometry.

```
Ba2AuSe
1.0
-1.872 4.122 -1.279
-7.336 -4.552 -3.931
-3.301 0.304 5.810
Au Ba Se
2 4 2
Cartesian
-4.582 0.403 -0.646
-7.038 -2.587 1.965
-1.724 -0.496 0.924
-5.503 -2.815 -1.015
-9.809 -1.695 0.243
-6.105 0.630 2.314
-8.227 -1.889 -2.697
-3.308 -0.302 3.867
```

**Calculated density**: 6.12 g cm⁻³
**Final energy**: -31.62 eV/cell

=====

Density functional theory data (PBE) for crystalline Gd2Sn2PdPt3 at its relaxed geometry.

```
Gd2Sn2PdPt3
1.0
4.588 0.000 0.000
-2.294 3.973 0.000
0.000 0.000 9.122
Gd Pd Pt Sn
2 1 3 2
Cartesian
2.294 1.324 2.307
0.000 0.000 6.836
0.000 0.000 0.797
0.000 0.000 3.730
2.294 1.324 5.382
2.294 1.324 8.344
0.000 2.649 4.554
0.000 2.649 9.096
```

**Calculated density**: 12.42 g cm⁻³
**Size of the total moment**: 0.000 μB per atom
**Final energy**: -48.48 eV/cell